Here is a relaxed structure of Mn2InN from Alexandria. Energies are from PBE-GGA.

Lattice parameters (Å, degrees): 4.147 4.147 4.147 60.00 60.00 60.00
Atoms (fractional coordinates):
Mn1 0.750 0.750 0.750
Mn2 0.250 0.250 0.250
N1 0.000 0.000 0.000
In1 0.500 0.500 0.500

Summary:
Energy relative to the elements, uncorrected ... 1.5285 eV/atom
Final energy ... -5.822 eV per atom